PmPrHoCd: optimized geometry, PBE.

* SG: No. 99
* DFT formation energy: -148 meV per atom

The structure in extended XYZ format:
```
4
Lattice="3.6980 0.0000 0.0000 0.0000 3.6980 0.0000 0.0000 0.0000 8.9892" Properties=species:S:1:pos:R:3 pbc="T T T"
Pm 1.8490 1.8490 7.1190
Pr 0.0000 0.0000 0.6995
Ho 1.8490 1.8490 3.1780
Cd 0.0000 0.0000 5.0466
```